[1]
Dy3Ho2Cd | GGA-PBE | relaxed

Summary:
Crystal system   tetragonal
Space-group type   P4/mmm, No. 123
DFT formation energy   -0.089 eV per atom
ΔE to the lowest computed polymorph   0 meV/atom

a = 3.547 Å, b = 3.547 Å, c = 14.128 Å
α = 90.00°, β = 90.00°, γ = 90.00°
Sites, in units of the cell vectors:
Dy 0.000 0.000 0.000
Dy 0.000 0.000 0.352
Dy 0.000 0.000 0.648
Ho 0.500 0.500 0.176
Ho 0.500 0.500 0.824
Cd 0.500 0.500 0.500

***

[2]
Sm2Si4Pd3 | GGA-PBE | relaxed

Summary:
Crystal system   orthorhombic
Space-group type   Cmce, No. 64
ΔE_f (raw)   -0.781 eV per atom

a = 8.042 Å, b = 8.042 Å, c = 7.388 Å
α = 90.00°, β = 90.00°, γ = 138.69°
Sites, in units of the cell vectors:
Sm 0.106 0.894 0.906
Sm 0.394 0.606 0.406
Sm 0.606 0.394 0.594
Sm 0.894 0.106 0.094
Si 0.179 0.821 0.520
Si 0.187 0.313 0.750
Si 0.313 0.187 0.250
Si 0.321 0.679 0.020
Si 0.679 0.321 0.980
Si 0.687 0.813 0.750
Si 0.813 0.687 0.250
Si 0.821 0.179 0.480
Pd 0.000 0.000 0.500
Pd 0.024 0.476 0.750
Pd 0.476 0.024 0.250
Pd 0.500 0.500 0.000
Pd 0.524 0.976 0.750
Pd 0.976 0.524 0.250

***

[3]
Sn2AsAu | GGA-PBE | relaxed

Summary:
Crystal system   trigonal
Space-group type   R-3m, No. 166
DFT formation energy   -0.112 eV per atom

a = 7.376 Å, b = 7.376 Å, c = 7.376 Å
α = 31.34°, β = 31.34°, γ = 31.34°
Sites, in units of the cell vectors:
Sn 0.249 0.249 0.249
Sn 0.751 0.751 0.751
As 0.500 0.500 0.500
Au 0.000 0.000 0.000